# 1
Below is a relaxed SmLuCo4 crystal, with properties calculated at the PBE level.

Properties
formation enthalpy at 0 K: -0.19 eV/atom
E: -6.46 eV per atom

a = 7.170 Å, b = 7.170 Å, c = 7.170 Å
α = 90.00°, β = 90.00°, γ = 90.00°
Space group F-43m (No. 216)
One atom of each set of equivalent atoms:
Sm (0.000, 0.000, 0.000) x4
Lu (0.250, 0.250, 0.250) x4
Co (0.124, 0.124, 0.624) x16

=====

# 2
Below is a relaxed BaTh2CdN4 crystal, with properties calculated at the PBE level.

Properties
formation energy (no corrections): -0.991 eV per atom
E: -7.36 eV per atom

a = 3.773 Å, b = 12.513 Å, c = 12.674 Å
α = 90.00°, β = 90.00°, γ = 90.00°
Space group Cmcm (No. 63)
One atom of each set of equivalent atoms:
Ba (0.000, 0.092, 0.250) x4
Th (0.000, 0.368, 0.051) x8
Cd (0.000, 0.173, 0.750) x4
N (0.000, 0.000, 0.000) x4
N (0.000, 0.254, 0.595) x8
N (0.000, 0.433, 0.250) x4

=====

# 3
Below is a relaxed NaSn2SbSe4 crystal, with properties calculated at the PBE level.

Properties
formation energy (no corrections): -0.512 eV per atom
E: -3.94 eV per atom

a = 7.260 Å, b = 4.232 Å, c = 7.314 Å
α = 90.00°, β = 108.62°, γ = 90.00°
Space group P2/m (No. 10)
One atom of each set of equivalent atoms:
Na (0.000, 0.000, 0.000) x1
Sn (0.500, 0.000, 0.500) x1
Sn (0.500, 0.500, 0.000) x1
Sb (0.000, 0.500, 0.500) x1
Se (0.240, 0.000, 0.746) x2
Se (0.247, 0.500, 0.255) x2

=====

# 4
Below is a relaxed AlSe crystal, with properties calculated at the PBE level.

Properties
formation energy (no corrections): -0.247 eV per atom
E: -3.86 eV per atom

a = 7.999 Å, b = 7.999 Å, c = 7.999 Å
α = 90.00°, β = 90.00°, γ = 90.00°
Space group I-43m (No. 217)
One atom of each set of equivalent atoms:
Al (0.127, 0.127, 0.127) x8
Se (0.194, 0.194, 0.806) x8

=====

# 5
Below is a relaxed Ag2HgPt crystal, with properties calculated at the PBE level.

Properties
formation enthalpy at 0 K: 0.04 eV/atom
E: -2.97 eV per atom

a = 5.711 Å, b = 8.623 Å, c = 2.931 Å
α = 90.00°, β = 90.00°, γ = 90.00°
Space group Cmmm (No. 65)
One atom of each set of equivalent atoms:
Ag (0.250, 0.250, 0.000) x4
Hg (0.000, 0.000, 0.500) x2
Pt (0.000, 0.500, 0.500) x2

=====

# 6
Below is a relaxed LiMg8Au6 crystal, with properties calculated at the PBE level.

Properties
formation enthalpy at 0 K: -0.52 eV/atom
E: -2.81 eV per atom

a = 7.9187 Å, b = 7.9187 Å, c = 16.7818 Å
α = 90.00°, β = 90.00°, γ = 120.00°
Space group R-3 (No. 148, hexagonal axes)
One atom of each set of equivalent atoms:
Li (0.0000, 0.0000, 0.0000) x3
Mg (0.0000, 0.0000, 0.3330) x6
Mg (0.0008, 0.3303, 0.1149) x18
Au (0.9999, 0.3306, 0.9453) x18

=====

# 7
Below is a relaxed Ba2LiAu crystal, with properties calculated at the PBE level.

Properties
formation enthalpy at 0 K: -0.15 eV/atom
E: -2.41 eV per atom

a = 7.902 Å, b = 7.902 Å, c = 7.902 Å
α = 90.00°, β = 90.00°, γ = 90.00°
Space group F-43m (No. 216)
One atom of each set of equivalent atoms:
Ba (0.000, 0.000, 0.000) x4
Ba (0.250, 0.250, 0.250) x4
Li (0.250, 0.250, 0.750) x4
Au (0.000, 0.000, 0.500) x4

=====

# 8
Below is a relaxed LaNdCoSi crystal, with properties calculated at the PBE level.

Properties
formation energy (no corrections): -0.471 eV per atom
E: -6.03 eV per atom

a = 4.0743 Å, b = 4.0743 Å, c = 22.4677 Å
α = 90.00°, β = 90.00°, γ = 120.00°
Space group R3m (No. 160, hexagonal axes)
One atom of each set of equivalent atoms:
La (0.0000, 0.0000, 0.0000) x3
Nd (0.0000, 0.0000, 0.1670) x3
Co (0.0000, 0.0000, 0.4152) x3
Si (0.0000, 0.0000, 0.7531) x3

=====

# 9
Below is a relaxed Pa2ReI crystal, with properties calculated at the PBE level.

Properties
formation energy (no corrections): -0.138 eV per atom
E: -8.39 eV per atom

a = 3.373 Å, b = 3.373 Å, c = 8.303 Å
α = 90.00°, β = 90.00°, γ = 90.00°
Space group P4/mmm (No. 123)
One atom of each set of equivalent atoms:
Pa (0.000, 0.000, 0.217) x2
Re (0.500, 0.500, 0.000) x1
I (0.500, 0.500, 0.500) x1

=====

# 10
Below is a relaxed NdErMg2 crystal, with properties calculated at the PBE level.

Properties
formation enthalpy at 0 K: -0.09 eV/atom
E: -3.22 eV per atom

a = 5.375 Å, b = 5.375 Å, c = 3.869 Å
α = 90.00°, β = 90.00°, γ = 90.00°
Space group P4/mmm (No. 123)
One atom of each set of equivalent atoms:
Nd (0.000, 0.000, 0.000) x1
Er (0.500, 0.500, 0.000) x1
Mg (0.000, 0.500, 0.500) x2

=====

# 11
Below is a relaxed TbY2Ho2Tm4 crystal, with properties calculated at the PBE level.

Properties
formation enthalpy at 0 K: 0.09 eV/atom
E: -4.86 eV per atom

a = 5.994 Å, b = 6.637 Å, c = 8.478 Å
α = 78.69°, β = 69.33°, γ = 63.43°
Space group P-1 (No. 2)
One atom of each set of equivalent atoms:
Tb (0.000, 0.000, 0.000) x1
Y (0.266, 0.669, 0.661) x2
Ho (0.182, 0.223, 0.555) x2
Tm (0.269, 0.425, 0.120) x2
Tm (0.387, 0.876, 0.233) x2

=====

# 12
Below is a relaxed Ho4MgAg2 crystal, with properties calculated at the PBE level.

Properties
formation enthalpy at 0 K: -0.09 eV/atom
E: -3.75 eV per atom

a = 5.1346 Å, b = 5.1346 Å, c = 24.3847 Å
α = 90.00°, β = 90.00°, γ = 120.00°
Space group R-3m (No. 166, hexagonal axes)
One atom of each set of equivalent atoms:
Ho (0.0000, 0.0000, 0.1142) x6
Ho (0.0000, 0.0000, 0.3678) x6
Mg (0.0000, 0.0000, 0.5000) x3
Ag (0.0000, 0.0000, 0.2426) x6

=====

Which value of E does entry 2 give?
-7.36 eV per atom